{
  "formula": "Cs2YIr",
  "functional": "GGA-PBE",
  "state": "optimized geometry",
  "lattice_angstrom": [[13.254, 0.000, 0.000], [0.000, 13.254, 0.000], [6.627, 6.627, 2.607]],
  "species": ["Cs", "Cs", "Cs", "Cs", "Y", "Y", "Ir", "Ir"],
  "frac_coords": [[0.780, 0.125, 0.250], [0.970, 0.625, 0.250], [0.375, 0.220, 0.750], [0.875, 0.030, 0.750], [0.500, 0.500, 0.000], [0.250, 0.750, 0.500], [0.000, 0.000, 0.000], [0.750, 0.250, 0.500]],
  "volume_a3_per_atom": 57.258,
  "space_group": "I-42d (122)"
}

=====

{
  "formula": "CsY3Ir",
  "functional": "GGA-PBE",
  "state": "optimized geometry",
  "lattice_angstrom": [[5.401, 0.000, 0.000], [0.000, 5.401, 0.000], [0.000, 0.000, 5.401]],
  "species": ["Cs", "Y", "Y", "Y", "Ir"],
  "frac_coords": [[0.000, 0.000, 0.000], [0.000, 0.500, 0.000], [0.000, 0.000, 0.500], [0.500, 0.000, 0.000], [0.500, 0.500, 0.500]],
  "volume_a3_per_atom": 31.517,
  "space_group": "Pm-3m (221)"
}

=====

{
  "formula": "CsY2Ir",
  "functional": "GGA-PBE",
  "state": "optimized geometry",
  "lattice_angstrom": [[0.000, 3.741, 3.741], [3.741, 0.000, 3.741], [3.741, 3.741, 0.000]],
  "species": ["Cs", "Y", "Y", "Ir"],
  "frac_coords": [[0.000, 0.000, 0.000], [0.250, 0.250, 0.250], [0.750, 0.750, 0.750], [0.500, 0.500, 0.500]],
  "volume_a3_per_atom": 26.168,
  "space_group": "Fm-3m (225)"
}

=====

{
  "formula": "Cs2Zn2Ir",
  "functional": "GGA-PBE",
  "state": "optimized geometry",
  "lattice_angstrom": [[-5.227, 2.482, 3.920], [0.953, -5.205, 4.566], [0.277, 0.739, 6.133]],
  "species": ["Cs", "Cs", "Zn", "Zn", "Ir"],
  "frac_coords": [[0.750, 0.250, 0.500], [0.250, 0.750, 0.500], [0.329, 0.329, 0.343], [0.671, 0.671, 0.657], [0.000, 0.000, 0.000]],
  "volume_a3_per_atom": 36.311,
  "space_group": "I4/mmm (139)"
}

=====

{
  "formula": "CsZnIr3",
  "functional": "GGA-PBE",
  "state": "optimized geometry",
  "lattice_angstrom": [[5.000, 0.000, 0.000], [0.000, 5.000, 0.000], [0.000, 0.000, 5.000]],
  "species": ["Cs", "Zn", "Ir", "Ir", "Ir"],
  "frac_coords": [[0.000, 0.000, 0.000], [0.500, 0.500, 0.500], [0.000, 0.500, 0.000], [0.000, 0.000, 0.500], [0.500, 0.000, 0.000]],
  "volume_a3_per_atom": 25.005,
  "space_group": "Pm-3m (221)"
}

=====

{
  "formula": "Cs3ZnIr",
  "functional": "GGA-PBE",
  "state": "optimized geometry",
  "lattice_angstrom": [[-6.119, -1.637, 1.196], [0.037, -3.892, -5.138], [2.027, -4.870, 3.704]],
  "species": ["Cs", "Cs", "Cs", "Zn", "Ir"],
  "frac_coords": [[0.000, 0.500, 0.000], [0.000, 0.000, 0.500], [0.500, 0.000, 0.000], [0.500, 0.500, 0.500], [0.000, 0.000, 0.000]],
  "volume_a3_per_atom": 53.562,
  "space_group": "Pm-3m (221)"
}

=====

{
  "formula": "CsZn2Ir",
  "functional": "GGA-PBE",
  "state": "optimized geometry",
  "lattice_angstrom": [[5.657, 0.000, 0.000], [0.000, 5.657, 0.000], [2.828, 2.828, 7.967]],
  "species": ["Cs", "Cs", "Zn", "Zn", "Zn", "Zn", "Ir", "Ir"],
  "frac_coords": [[0.500, 0.500, 0.000], [0.250, 0.750, 0.500], [0.875, 0.125, 0.250], [0.875, 0.625, 0.250], [0.375, 0.125, 0.750], [0.875, 0.125, 0.750], [0.000, 0.000, 0.000], [0.750, 0.250, 0.500]],
  "volume_a3_per_atom": 31.867,
  "space_group": "I4_1/amd (141)"
}

=====

{
  "formula": "CsZn3Ir",
  "functional": "GGA-PBE",
  "state": "optimized geometry",
  "lattice_angstrom": [[-3.883, -3.177, 0.228], [2.705, -3.478, -2.410], [1.682, -1.741, 4.400]],
  "species": ["Cs", "Zn", "Zn", "Zn", "Ir"],
  "frac_coords": [[0.500, 0.500, 0.500], [0.000, 0.500, 0.000], [0.000, 0.000, 0.500], [0.500, 0.000, 0.000], [0.000, 0.000, 0.000]],
  "volume_a3_per_atom": 25.334,
  "space_group": "Pm-3m (221)"
}

=====

Number 1: E_form 510 meV per atom. Number 2: E_form 1775 meV per atom. Number 3: E_form 365 meV per atom. Number 4: E_form 493 meV per atom. Number 5: E_form 3072 meV per atom. Number 6: E_form 682 meV per atom. Number 7: E_form 237 meV per atom. Number 8: E_form -53 meV per atom.